Entry 1:
This record from the Alexandria database describes crystalline SiSbOs at its relaxed geometry. The functional is PBE.

Properties
Raw formation energy   0.142 eV/atom
Offset from the most stable computed form   183.3 meV per atom
Space group   F-43m (216)
Crystal system   cubic
Total magnetization   0.000 μB/cell

Structure (POSCAR):
```
SiSbOs
1.0
6.111 0.000 0.000
0.000 6.111 0.000
0.000 0.000 6.111
Si Sb Os
4 4 4
Direct
0.000 0.000 0.000
0.000 0.500 0.500
0.500 0.000 0.500
0.500 0.500 0.000
0.000 0.000 0.500
0.000 0.500 0.000
0.500 0.000 0.000
0.500 0.500 0.500
0.250 0.250 0.250
0.250 0.750 0.750
0.750 0.250 0.750
0.750 0.750 0.250
```

Entry 2:
This record from the Alexandria database describes crystalline SiSbOs at its relaxed geometry. The functional is PBE.

Properties
Raw formation energy   0.088 eV/atom
Offset from the most stable computed form   128.8 meV per atom
Space group   Immm (71)
Crystal system   orthorhombic
Total magnetization   0.000 μB/cell

Structure (POSCAR):
```
SiSbOs
1.0
3.093 0.000 0.000
0.000 5.919 0.000
0.000 0.000 12.319
Si Sb Os
4 4 4
Direct
0.000 0.000 0.102
0.000 0.000 0.898
0.500 0.500 0.398
0.500 0.500 0.602
0.000 0.000 0.322
0.000 0.000 0.678
0.500 0.500 0.178
0.500 0.500 0.822
0.000 0.256 0.500
0.000 0.744 0.500
0.500 0.244 0.000
0.500 0.756 0.000
```

Entry 3:
This record from the Alexandria database describes crystalline SiSbOs at its relaxed geometry. The functional is PBE.

Properties
Raw formation energy   -0.027 eV/atom
Offset from the most stable computed form   13.4 meV per atom
Space group   C2/m (12)
Crystal system   monoclinic
Total magnetization   0.000 μB/cell

Structure (POSCAR):
```
SiSbOs
1.0
13.740 0.000 0.000
0.000 5.039 0.000
-0.009 0.000 3.084
Si Sb Os
4 4 4
Direct
0.000 0.243 0.000
0.000 0.757 0.000
0.500 0.257 0.000
0.500 0.743 0.000
0.189 0.000 0.505
0.311 0.500 0.495
0.689 0.500 0.505
0.811 0.000 0.495
0.106 0.500 0.501
0.394 0.000 0.499
0.606 0.000 0.501
0.894 0.500 0.499
```

Entry 4:
This record from the Alexandria database describes crystalline SiSbTe2Os at its relaxed geometry. The functional is PBE.

Properties
Raw formation energy   0.987 eV/atom
Offset from the most stable computed form   0.0 meV per atom
Space group   P4/mmm (123)
Crystal system   tetragonal
Total magnetization   0.000 μB/cell

Structure (POSCAR):
```
SiSbTe2Os
1.0
5.325 0.000 0.000
0.000 5.325 0.000
0.000 0.000 5.000
Si Sb Te Os
1 1 2 1
Direct
0.000 0.000 0.000
0.500 0.500 0.000
0.000 0.500 0.500
0.500 0.000 0.500
0.500 0.500 0.500
```

Entry 5:
This record from the Alexandria database describes crystalline SiSb2TeOs at its relaxed geometry. The functional is PBE.

Properties
Raw formation energy   0.927 eV/atom
Offset from the most stable computed form   0.0 meV per atom
Space group   P4/mmm (123)
Crystal system   tetragonal
Total magnetization   0.000 μB/cell

Structure (POSCAR):
```
SiSb2TeOs
1.0
4.992 0.000 0.000
0.000 4.992 0.000
0.000 0.000 5.722
Si Sb Te Os
1 2 1 1
Direct
0.000 0.000 0.000
0.000 0.500 0.500
0.500 0.000 0.500
0.500 0.500 0.000
0.500 0.500 0.500
```

Entry 6:
This record from the Alexandria database describes crystalline SiSb2TeOs at its relaxed geometry. The functional is PBE.

Properties
Raw formation energy   1.486 eV/atom
Offset from the most stable computed form   558.9 meV per atom
Space group   P4/mmm (123)
Crystal system   tetragonal
Total magnetization   0.335 μB/cell

Structure (POSCAR):
```
SiSb2TeOs
1.0
4.980 0.000 0.000
0.000 4.980 0.000
0.000 0.000 5.011
Si Sb Te Os
1 2 1 1
Direct
0.000 0.000 0.000
0.000 0.500 0.000
0.500 0.000 0.000
0.000 0.000 0.500
0.500 0.500 0.500
```

Entry 7:
This record from the Alexandria database describes crystalline SiSbTe2Os at its relaxed geometry. The functional is PBE.

Properties
Raw formation energy   1.482 eV/atom
Offset from the most stable computed form   495.0 meV per atom
Space group   P4/mmm (123)
Crystal system   tetragonal
Total magnetization   0.000 μB/cell

Structure (POSCAR):
```
SiSbTe2Os
1.0
5.013 0.000 0.000
0.000 5.013 0.000
0.000 0.000 4.976
Si Sb Te Os
1 1 2 1
Direct
0.000 0.000 0.000
0.000 0.000 0.500
0.000 0.500 0.000
0.500 0.000 0.000
0.500 0.500 0.500
```

Entry 8:
This record from the Alexandria database describes crystalline Ti2SiSbOs at its relaxed geometry. The functional is PBE.

Properties
Raw formation energy   0.325 eV/atom
Space group   P4/mmm (123)
Crystal system   tetragonal
Total magnetization   0.000 μB/cell

Structure (POSCAR):
```
Ti2SiSbOs
1.0
4.624 0.000 0.000
0.000 4.624 0.000
0.000 0.000 4.446
Ti Si Sb Os
2 1 1 1
Direct
0.000 0.500 0.000
0.500 0.000 0.000
0.000 0.000 0.000
0.500 0.500 0.500
0.000 0.000 0.500
```

Entry 9:
This record from the Alexandria database describes crystalline Zn2SiSbOs at its relaxed geometry. The functional is PBE.

Properties
Raw formation energy   1.255 eV/atom
Space group   P4/mmm (123)
Crystal system   tetragonal
Total magnetization   1.338 μB/cell

Structure (POSCAR):
```
Zn2SiSbOs
1.0
4.424 0.000 0.000
0.000 4.424 0.000
0.000 0.000 5.419
Zn Si Sb Os
2 1 1 1
Direct
0.000 0.500 0.000
0.500 0.000 0.000
0.000 0.000 0.000
0.000 0.000 0.500
0.500 0.500 0.500
```

Entry 10:
This record from the Alexandria database describes crystalline Sm4SbOs at its relaxed geometry. The functional is PBE.

Properties
Raw formation energy   -0.490 eV/atom
Offset from the most stable computed form   0.0 meV per atom
Space group   C2/c (15)
Crystal system   monoclinic
Total magnetization   0.000 μB/cell

Structure (POSCAR):
```
Sm4SbOs
1.0
4.524 -6.840 0.000
4.524 6.840 0.000
-2.630 0.000 5.709
Sm Sb Os
8 2 2
Direct
0.059 0.718 0.931
0.213 0.351 0.661
0.282 0.941 0.569
0.351 0.213 0.161
0.649 0.787 0.839
0.718 0.059 0.431
0.787 0.649 0.339
0.941 0.282 0.069
0.373 0.627 0.250
0.627 0.373 0.750
0.000 0.000 0.250
0.000 0.000 0.750
```

Entry 11:
This record from the Alexandria database describes crystalline SmSb12Os4 at its relaxed geometry. The functional is PBE.

Properties
Raw formation energy   -0.147 eV/atom
Space group   Im-3 (204)
Crystal system   cubic
Total magnetization   0.000 μB/cell

Structure (POSCAR):
```
SmSb12Os4
1.0
-4.707 4.707 4.707
4.707 -4.707 4.707
4.707 4.707 -4.707
Sm Sb Os
1 12 4
Direct
0.000 0.000 0.000
0.157 0.338 0.495
0.157 0.662 0.818
0.182 0.843 0.338
0.338 0.182 0.843
0.338 0.495 0.157
0.495 0.157 0.338
0.505 0.843 0.662
0.662 0.505 0.843
0.662 0.818 0.157
0.818 0.157 0.662
0.843 0.338 0.182
0.843 0.662 0.505
0.000 0.000 0.500
0.000 0.500 0.000
0.500 0.000 0.000
0.500 0.500 0.500
```

Entry 12:
This record from the Alexandria database describes crystalline Sm8Sb2Os at its relaxed geometry. The functional is PBE.

Properties
Raw formation energy   -0.417 eV/atom
Space group   C2/m (12)
Crystal system   monoclinic
Total magnetization   0.000 μB/cell

Structure (POSCAR):
```
Sm8Sb2Os
1.0
9.786 -2.496 0.000
9.786 2.496 0.000
-1.754 0.000 6.686
Sm Sb Os
8 2 1
Direct
0.017 0.017 0.286
0.219 0.219 0.826
0.355 0.355 0.493
0.409 0.409 0.035
0.591 0.591 0.965
0.645 0.645 0.507
0.781 0.781 0.174
0.983 0.983 0.714
0.180 0.180 0.254
0.820 0.820 0.746
0.500 0.500 0.500
```

Repeat the eighth record exactly.
This record from the Alexandria database describes crystalline Ti2SiSbOs at its relaxed geometry. The functional is PBE.

Properties
Raw formation energy   0.325 eV/atom
Space group   P4/mmm (123)
Crystal system   tetragonal
Total magnetization   0.000 μB/cell

Structure (POSCAR):
```
Ti2SiSbOs
1.0
4.624 0.000 0.000
0.000 4.624 0.000
0.000 0.000 4.446
Ti Si Sb Os
2 1 1 1
Direct
0.000 0.500 0.000
0.500 0.000 0.000
0.000 0.000 0.000
0.500 0.500 0.500
0.000 0.000 0.500
```